Density functional theory data (PBE) for a geometry-optimized TlCuSi structure.

Properties
E_form (uncorrected) = 0.15 eV per atom
symmetry = Pm (6)
final energy = -22.9 eV per cell

abc: 7.4939 4.6268 3.8347
angles: 90.00 89.99 105.41
Closest atoms and distances in Å follow each position.
Fractional positions:
Cu: 0.2883 0.7686 0.1350  4 Si 2.31-2.50
Cu: 0.4630 0.5838 0.6350  4 Si 2.31-2.50
Si: 0.3026 0.2737 0.1351  4 Cu 2.31-2.50, 2 Si 2.49
Si: 0.4479 0.0782 0.6351  4 Cu 2.31-2.50, 2 Si 2.49
Tl: 0.7625 0.8732 0.1352  2 Cu 2.98-2.99
Tl: 0.9885 0.4721 0.6353  2 Cu 2.99, 2 Si 3.35